Density functional theory data (PBE-GGA) for Sm8Ho3Mg2 after structural relaxation.

Unit cell a=8.024 b=5.238 c=10.361 alpha=90.00 beta=104.56 gamma=90.00
Sites, in units of the cell vectors:
Sm: 0.046 0.000 0.341
Sm: 0.137 0.500 0.890
Sm: 0.334 0.500 0.262
Sm: 0.397 0.000 0.818
Sm: 0.603 0.000 0.182
Sm: 0.666 0.500 0.738
Sm: 0.863 0.500 0.110
Sm: 0.954 0.000 0.659
Ho: 0.224 0.500 0.574
Ho: 0.500 0.000 0.500
Ho: 0.776 0.500 0.426
Mg: 0.179 0.000 0.072
Mg: 0.821 0.000 0.928

Energy of formation in meV/atom: 64